Record 1
Compound: CdAg5
Source: Alexandria
Functional: SCAN
Structure: single point on PBEsol structure

Crystal system: monoclinic
E_form, meV/atom: -22
Size of the total moment, μB per formula unit: 0.000
Space group: No. 8
Polymorph energy (0 for the lowest one), meV per atom: 10

Cell lengths 5.5298, 5.5298, 6.7983 Å; angles 105.41, 105.41, 30.66 degrees
With the nearest neighbours (Å) after each atom.
Fractional positions:
1 Cd 0.0000 0.0000 0.0000  10 Ag 2.88-2.90, 2 Cd 2.92
2 Ag 0.2801 0.2801 0.0633  9 Ag 2.87-2.92, 3 Cd 2.89-2.90
3 Ag 0.3328 0.3328 0.6648  10 Ag 2.84-2.93, 2 Cd 2.88
4 Ag 0.6154 0.6154 0.7262  10 Ag 2.85-2.93, 2 Cd 2.89
5 Ag 0.6681 0.6681 0.3368  10 Ag 2.84-2.92, 2 Cd 2.89
6 Ag 0.9479 0.9479 0.3970  11 Ag 2.85-2.92, 1 Cd 2.90

=====

Record 2
Compound: CdAg2
Source: Alexandria
Functional: SCAN
Structure: single point on PBEsol structure

Crystal system: monoclinic
E_form, meV/atom: -38
Size of the total moment, μB per formula unit: 0.000
Space group: No. 12
Polymorph energy (0 for the lowest one), meV per atom: 15

Cell lengths 5.5481, 5.5481, 6.9517 Å; angles 105.68, 105.68, 30.72 degrees
With the nearest neighbours (Å) after each atom.
Fractional positions:
1 Cd 0.1900 0.1900 0.1433  8 Ag 2.88-2.91, 4 Cd 2.94-3.04
2 Cd 0.8100 0.8100 0.8567  8 Ag 2.88-2.91, 4 Cd 2.94-3.04
3 Ag 0.1380 0.1380 0.5283  9 Ag 2.87-2.94, 3 Cd 2.88-2.90
4 Ag 0.4703 0.4703 0.1997  7 Ag 2.88-3.02, 5 Cd 2.89-2.91
5 Ag 0.5297 0.5297 0.8003  7 Ag 2.88-3.02, 5 Cd 2.89-2.91
6 Ag 0.8620 0.8620 0.4717  9 Ag 2.87-2.94, 3 Cd 2.88-2.90

=====

Record 3
Compound: CdAg
Source: Alexandria
Functional: SCAN
Structure: single point on PBEsol structure

Crystal system: orthorhombic
E_form, meV/atom: -39
Size of the total moment, μB per formula unit: 0.000
Space group: No. 59

Cell lengths 2.9527, 4.7891, 5.1119 Å; angles 90.00, 90.00, 90.00 degrees
With the nearest neighbours (Å) after each atom.
Fractional positions:
1 Cd 0.2500 0.2500 0.0955  6 Ag 2.90-3.00, 6 Cd 2.95-2.98
2 Cd 0.7500 0.7500 0.9045  6 Ag 2.90-3.00, 6 Cd 2.95-2.98
3 Ag 0.2500 0.7500 0.4147  6 Cd 2.90-3.00, 6 Ag 2.95
4 Ag 0.7500 0.2500 0.5853  6 Cd 2.90-3.00, 6 Ag 2.95